(1)
# AcScInSn

A relaxed structure of AcScInSn (PBE-GGA, Alexandria).

DOS at the Fermi energy in states/eV per atom: 0.99
Energy of formation in meV/atom: -388
VASP energy in eV per atom: -4.68
Symmetry: F-43m, No. 216

abc: 5.4733 5.4733 5.4733
angles: 60.00 60.00 60.00
Last column: nearest neighbours and their distance in Å.
Positions (direct):
Ac  0.0000  0.0000  0.0000  4 In 3.35, 4 Sn 3.35
Sc  0.5000  0.5000  0.5000  4 In 3.35, 4 Sn 3.35
In  0.2500  0.2500  0.2500  4 Sc 3.35, 4 Ac 3.35
Sn  0.7500  0.7500  0.7500  4 Ac 3.35, 4 Sc 3.35

***

(2)
# AcYScIn

A relaxed structure of AcYScIn (PBE-GGA, Alexandria).

DOS at the Fermi energy in states/eV per atom: 1.14
Energy of formation in meV/atom: -115
VASP energy in eV per atom: -5.03
Symmetry: F-43m, No. 216

abc: 5.5706 5.5706 5.5706
angles: 60.00 60.00 60.00
Last column: nearest neighbours and their distance in Å.
Positions (direct):
Ac  0.0000  0.0000  0.0000  4 In 3.41, 4 Sc 3.41
Y  0.5000  0.5000  0.5000  4 In 3.41, 4 Sc 3.41
Sc  0.7500  0.7500  0.7500  4 Ac 3.41, 4 Y 3.41
In  0.2500  0.2500  0.2500  4 Ac 3.41, 4 Y 3.41

***

(3)
# AcInSe2

A relaxed structure of AcInSe2 (PBE-GGA, Alexandria).

VASP energy in eV per atom: -4.62
Symmetry: R-3m, No. 166

abc: 9.5314 9.5314 9.5314
angles: 28.07 28.07 28.07
Last column: nearest neighbours and their distance in Å.
Positions (direct):
Ac  0.0000  0.0000  0.0000  6 Se 3.12
In  0.5000  0.5000  0.5000  2 Se 2.96
Se  0.3923  0.3923  0.3923  1 In 2.96, 3 Ac 3.12
Se  0.6077  0.6077  0.6077  1 In 2.96, 3 Ac 3.12

***

(4)
# Ac2InSe

A relaxed structure of Ac2InSe (PBE-GGA, Alexandria).

DOS at the Fermi energy in states/eV per atom: 0.49
VASP energy in eV per atom: -4.68
Symmetry: R-3m, No. 166

abc: 8.7023 8.7023 8.7023
angles: 29.68 29.68 29.68
Last column: nearest neighbours and their distance in Å.
Positions (direct):
Ac  0.2433  0.2433  0.2433  3 Se 3.21, 3 In 3.42
Ac  0.7567  0.7567  0.7567  3 Se 3.21, 3 In 3.42
In  0.0000  0.0000  0.0000  6 Ac 3.42
Se  0.5000  0.5000  0.5000  6 Ac 3.21

***

(5)
# Ac2InSe6

A relaxed structure of Ac2InSe6 (PBE-GGA, Alexandria).

DOS at the Fermi energy in states/eV per atom: 0.43
VASP energy in eV per atom: -4.66
Symmetry: C2/m, No. 12

abc: 7.9260 7.9260 5.0883
angles: 93.60 93.60 60.10
Last column: nearest neighbours and their distance in Å.
Positions (direct):
Ac  0.1688  0.1688  0.1901  8 Se 3.18-3.22
Ac  0.8312  0.8312  0.8099  8 Se 3.18-3.22
In  0.5000  0.5000  0.5000  8 Se 3.01-3.20
Se  0.0931  0.6029  0.3154  1 Se 2.72, 1 In 3.01
Se  0.2554  0.7446  0.0000  2 Se 2.72
Se  0.3971  0.9069  0.6846  1 Se 2.72, 1 In 3.01
Se  0.6029  0.0931  0.3154  1 Se 2.72, 1 In 3.01
Se  0.7446  0.2554  0.0000  2 Se 2.72
Se  0.9069  0.3971  0.6846  1 Se 2.72, 1 In 3.01

***

(6)
# Ac2InSe

A relaxed structure of Ac2InSe (PBE-GGA, Alexandria).

DOS at the Fermi energy in states/eV per atom: 0.69
VASP energy in eV per atom: -4.74
Symmetry: Cmcm, No. 63

abc: 12.9408 12.9408 4.5526
angles: 90.00 90.00 158.94
Last column: nearest neighbours and their distance in Å.
Positions (direct):
Ac  0.0703  0.9297  0.7500  1 Se 3.13, 4 In 3.38
Ac  0.3162  0.6838  0.7500  5 Se 3.12-3.29
Ac  0.6838  0.3162  0.2500  5 Se 3.12-3.29
Ac  0.9297  0.0703  0.2500  1 Se 3.13, 4 In 3.38
In  0.4607  0.5393  0.7500  2 In 3.03, 4 Ac 3.38
In  0.5393  0.4607  0.2500  2 In 3.03, 4 Ac 3.38
Se  0.1934  0.8066  0.7500  6 Ac 3.12-3.29
Se  0.8066  0.1934  0.2500  6 Ac 3.12-3.29

***

(7)
# AcInSe4

A relaxed structure of AcInSe4 (PBE-GGA, Alexandria).

VASP energy in eV per atom: -4.41
Symmetry: P2_1/m, No. 11

abc: 6.0470 9.5193 7.4200
angles: 90.00 110.62 90.00
Last column: nearest neighbours and their distance in Å.
Positions (direct):
Ac  0.1429  0.2500  0.2634  7 Se 3.06-3.29
Ac  0.8571  0.7500  0.7366  7 Se 3.06-3.29
In  0.0887  0.7500  0.3020  4 Se 2.55-2.72
In  0.9113  0.2500  0.6980  4 Se 2.55-2.72
Se  0.2023  0.5511  0.0852  1 Se 2.52, 1 In 2.72
Se  0.2023  0.9489  0.0852  1 Se 2.52, 1 In 2.72
Se  0.3243  0.7500  0.6618  1 In 2.55
Se  0.3423  0.2500  0.7101  1 In 2.58
Se  0.6577  0.7500  0.2899  1 In 2.58
Se  0.6757  0.2500  0.3382  1 In 2.55
Se  0.7977  0.0511  0.9148  1 Se 2.52, 1 In 2.72
Se  0.7977  0.4489  0.9148  1 Se 2.52, 1 In 2.72

***

(8)
# Ac2InSe

A relaxed structure of Ac2InSe (PBE-GGA, Alexandria).

DOS at the Fermi energy in states/eV per atom: 0.77
VASP energy in eV per atom: -4.60
Symmetry: P4/mmm, No. 123

abc: 3.8316 3.8316 8.6111
angles: 90.00 90.00 90.00
Last column: nearest neighbours and their distance in Å.
Positions (direct):
Ac  0.0000  0.0000  0.2342  4 Se 3.38, 4 In 3.55
Ac  0.0000  0.0000  0.7658  4 Se 3.38, 4 In 3.55
In  0.5000  0.5000  0.5000  8 Ac 3.55, 4 In 3.83
Se  0.5000  0.5000  0.0000  8 Ac 3.38

***

(9)
# Ac2InSe5

A relaxed structure of Ac2InSe5 (PBE-GGA, Alexandria).

DOS at the Fermi energy in states/eV per atom: 0.08
VASP energy in eV per atom: -4.76
Symmetry: Cmcm, No. 63

abc: 8.2518 8.2518 12.9620
angles: 90.00 90.00 137.21
Last column: nearest neighbours and their distance in Å.
Positions (direct):
Ac  0.1526  0.8474  0.5679  6 Se 3.05-3.11
Ac  0.1526  0.8474  0.9321  6 Se 3.05-3.11
Ac  0.8474  0.1526  0.0679  6 Se 3.05-3.11
Ac  0.8474  0.1526  0.4321  6 Se 3.05-3.11
In  0.1913  0.8087  0.2500  4 Se 2.71-2.81
In  0.8087  0.1913  0.7500  4 Se 2.71-2.81
Se  0.0385  0.9615  0.1305  1 In 2.81, 2 Ac 3.05-3.11, 1 Se 3.10
Se  0.0385  0.9615  0.3695  1 In 2.81, 2 Ac 3.05-3.11, 1 Se 3.10
Se  0.2820  0.7180  0.7500  2 In 3.04, 2 Ac 3.09
Se  0.3045  0.6955  0.0901  1 In 2.71
Se  0.3045  0.6955  0.4099  1 In 2.71
Se  0.6955  0.3045  0.5901  1 In 2.71
Se  0.6955  0.3045  0.9099  1 In 2.71
Se  0.7180  0.2820  0.2500  2 In 3.04, 2 Ac 3.09
Se  0.9615  0.0385  0.6305  1 In 2.81, 2 Ac 3.05-3.11, 1 Se 3.10
Se  0.9615  0.0385  0.8695  1 In 2.81, 2 Ac 3.05-3.11, 1 Se 3.10

***

(10)
# Ac6InSe5

A relaxed structure of Ac6InSe5 (PBE-GGA, Alexandria).

DOS at the Fermi energy in states/eV per atom: 0.53
VASP energy in eV per atom: -5.34
Symmetry: C2/m, No. 12

abc: 7.8718 7.8718 7.8654
angles: 99.56 99.56 119.91
Last column: nearest neighbours and their distance in Å.
Positions (direct):
Ac  0.0786  0.4161  0.7474  5 Se 3.20-3.22, 1 In 3.25
Ac  0.2462  0.2462  0.2515  5 Se 3.18-3.21, 1 In 3.25
Ac  0.4161  0.0786  0.7474  5 Se 3.20-3.22, 1 In 3.25
Ac  0.5839  0.9214  0.2526  5 Se 3.20-3.22, 1 In 3.25
Ac  0.7538  0.7538  0.7485  5 Se 3.18-3.21, 1 In 3.25
Ac  0.9214  0.5839  0.2526  5 Se 3.20-3.22, 1 In 3.25
In  0.5000  0.5000  0.0000  6 Ac 3.25
Se  0.0000  0.0000  0.5000  6 Ac 3.18-3.22
Se  0.1670  0.8330  0.0000  6 Ac 3.21
Se  0.3354  0.6646  0.5000  6 Ac 3.20-3.21
Se  0.6646  0.3354  0.5000  6 Ac 3.20-3.21
Se  0.8330  0.1670  0.0000  6 Ac 3.21

***

(11)
# AcInSe2

A relaxed structure of AcInSe2 (PBE-GGA, Alexandria).

DOS at the Fermi energy in states/eV per atom: 0.21
VASP energy in eV per atom: -4.68
Symmetry: P4/mmm, No. 123

abc: 5.2020 5.2020 3.9808
angles: 90.00 90.00 90.00
Last column: nearest neighbours and their distance in Å.
Positions (direct):
Ac  0.0000  0.0000  0.0000  8 Se 3.28
In  0.5000  0.5000  0.0000  8 Se 3.28
Se  0.0000  0.5000  0.5000  4 Ac 3.28, 4 In 3.28
Se  0.5000  0.0000  0.5000  4 Ac 3.28, 4 In 3.28